(1)
First-principles (PBE) data for a relaxed YScRu2Au crystal, as listed in the Alexandria database.

abc: 4.664 4.664 4.977
angles: 90.00 90.00 90.00
Fractional coordinates of all 5 atoms:
1 Y 0.000 0.000 0.000
2 Sc 0.500 0.500 0.500
3 Ru 0.000 0.500 0.500
4 Ru 0.500 0.000 0.500
5 Au 0.500 0.500 0.000

DFT formation energy, meV per atom: 435
Spin magnetization, μB/cell: 0.566

=====

(2)
First-principles (PBE) data for a relaxed TbPaMnN3 crystal, as listed in the Alexandria database.

abc: 7.177 3.344 7.185
angles: 90.00 100.46 90.00
Fractional coordinates of all 12 atoms:
1 Tb 0.197 0.250 0.166
2 Tb 0.803 0.750 0.834
3 Pa 0.188 0.250 0.660
4 Pa 0.812 0.750 0.340
5 Mn 0.427 0.750 0.912
6 Mn 0.573 0.250 0.088
7 N 0.137 0.750 0.426
8 N 0.144 0.750 0.884
9 N 0.458 0.750 0.181
10 N 0.542 0.250 0.819
11 N 0.856 0.250 0.116
12 N 0.863 0.250 0.574

Formation energy without anion corrections, eV per atom: -1.180
Spin magnetization, μB/cell: 0.000

=====

(3)
First-principles (PBE) data for a relaxed UTiSn crystal, as listed in the Alexandria database.

abc: 4.961 4.961 2.988
angles: 90.00 90.00 120.00
Fractional coordinates of all 3 atoms:
1 U 0.000 0.000 0.000
2 Ti 0.667 0.333 0.003
3 Sn 0.333 0.667 0.500

DFT formation energy, meV per atom: 293
Spin magnetization, μB/cell: 2.444

=====

(4)
First-principles (PBE) data for a relaxed Ho4Er7Sc crystal, as listed in the Alexandria database.

abc: 6.377 6.679 8.951
angles: 85.50 76.45 81.55
Fractional coordinates of all 12 atoms:
1 Ho 0.152 0.314 0.280
2 Ho 0.334 0.882 0.692
3 Ho 0.666 0.118 0.308
4 Ho 0.848 0.686 0.720
5 Er 0.003 0.255 0.951
6 Er 0.178 0.804 0.363
7 Er 0.311 0.392 0.617
8 Er 0.500 0.000 0.000
9 Er 0.689 0.608 0.383
10 Er 0.822 0.196 0.637
11 Er 0.997 0.745 0.049
12 Sc 0.500 0.500 0.000

DFT formation energy, meV per atom: 103
Spin magnetization, μB/cell: 0.000

=====

(5)
First-principles (PBE) data for a relaxed PCSe crystal, as listed in the Alexandria database.

abc: 2.835 4.879 4.925
angles: 90.42 106.37 106.76
Fractional coordinates of all 3 atoms:
1 P 0.000 0.000 0.000
2 C 0.496 0.848 0.147
3 Se 0.491 0.575 0.412

Formation energy without anion corrections, eV per atom: 0.494
Spin magnetization, μB/cell: 0.000

=====

(6)
First-principles (PBE) data for a relaxed SiNi2As crystal, as listed in the Alexandria database.

abc: 3.285 3.285 4.775
angles: 90.00 90.00 90.00
Fractional coordinates of all 4 atoms:
1 Si 0.000 0.000 0.000
2 Ni 0.000 0.000 0.509
3 Ni 0.500 0.500 0.834
4 As 0.500 0.500 0.333

Formation energy without anion corrections, eV per atom: -0.216
Spin magnetization, μB/cell: 0.000

=====

> The highest spin magnetization belongs to which entry?

UTiSn

=====

> Which of these has the highest spin magnetization?

UTiSn

=====

Repeat the third record exactly.
First-principles (PBE) data for a relaxed UTiSn crystal, as listed in the Alexandria database.

abc: 4.961 4.961 2.988
angles: 90.00 90.00 120.00
Fractional coordinates of all 3 atoms:
1 U 0.000 0.000 0.000
2 Ti 0.667 0.333 0.003
3 Sn 0.333 0.667 0.500

DFT formation energy, meV per atom: 293
Spin magnetization, μB/cell: 2.444